# 1
The following is a DFT calculation (GGA-PBE) of a relaxed Sc2SiRh crystal.

magnetization	0.00	μB per formula unit
uncorrected formation energy	-0.74	eV/atom

Cell: 5.7604 5.7604 4.4611 Å, 67.19 67.19 31.62°
Sites, in units of the cell vectors:
Rh: 0.7702 0.7702 0.7295
Sc: 0.0257 0.0257 0.9744
Sc: 0.2442 0.2442 0.2555
Si: 0.4599 0.4599 0.5406



# 2
The following is a DFT calculation (GGA-PBE) of a relaxed Be3Re2 crystal.

polymorph energy (0 for the lowest one)	489	meV/atom
magnetization	0.00	μB per formula unit

Cell: 9.9929 9.9929 9.9929 Å, 15.33 15.33 15.33°
Sites, in units of the cell vectors:
Be: 0.0000 0.0000 0.0000
Be: 0.8018 0.8018 0.8018
Be: 0.1982 0.1982 0.1982
Re: 0.4013 0.4013 0.4013
Re: 0.5987 0.5987 0.5987



# 3
The following is a DFT calculation (GGA-PBE) of a relaxed Pr7Co2Ag2 crystal.

total DFT energy (no corrections)	-53.71	eV/cell
magnetization	0.00	μB per formula unit

Cell: 6.9814 7.1564 6.9814 Å, 90.00 111.80 90.00°
Sites, in units of the cell vectors:
Pr: 0.9998 0.2512 0.5003
Pr: 0.5003 0.7488 0.9998
Pr: 0.0002 0.7488 0.4997
Pr: 0.4997 0.2512 0.0002
Pr: 0.0000 0.0000 0.0000
Pr: 0.5002 0.7591 0.4998
Pr: 0.4998 0.2409 0.5002
Co: 0.6979 0.0000 0.3021
Co: 0.3021 0.0000 0.6979
Ag: 0.8268 0.5000 0.8268
Ag: 0.1732 0.5000 0.1732



> magnetization of number 2 (Be3Re2)?

0.00 μB per formula unit